1.
# PBE-GGA Pm7Bi3C2, optimized geometry
# Magnetic moment ... 0.0 μB per formula unit
# Energy ... -5.820 eV per atom
# Calculated formation energy ... -541 meV/atom
# Calculated density ... 8.4 Mg/m³
data_Pm7Bi3C2
_symmetry_space_group_name_H-M 'C m m m'
_symmetry_Int_Tables_number 65
_symmetry_space_group_name_Hall '-C 2 2'
_cell_length_a 5.078
_cell_length_b 25.804
_cell_length_c 5.005
_cell_angle_alpha 90.00
_cell_angle_beta 90.00
_cell_angle_gamma 90.00
loop_
_atom_site_label
_atom_site_type_symbol
_atom_site_fract_x
_atom_site_fract_y
_atom_site_fract_z
Pm1 Pm 0.000 0.000 0.000
Pm2 Pm 0.000 0.096 0.500
Pm3 Pm 0.000 0.196 0.000
Pm4 Pm 0.000 0.403 0.000
Bi1 Bi 0.000 0.311 0.500
Bi2 Bi 0.000 0.500 0.500
C1 C 0.000 0.102 0.000

=====

2.
# PBE-GGA Pm2BiC, optimized geometry
# Magnetic moment ... 0.0 μB per formula unit
# Energy ... -6.033 eV per atom
# Excess energy over the best structure of this formula in the dataset ... 0.33 eV per formula unit
# Calculated formation energy ... -382 meV/atom
# Calculated density ... 8.7 Mg/m³
data_Pm2BiC
_symmetry_space_group_name_H-M 'P n m a'
_symmetry_Int_Tables_number 62
_cell_length_a 7.071
_cell_length_b 5.135
_cell_length_c 10.768
_cell_angle_alpha 90.00
_cell_angle_beta 90.00
_cell_angle_gamma 90.00
loop_
_symmetry_equiv_pos_as_xyz
'x,y,z'
'-x,-y,-z'
'-x+1/2,-y,z+1/2'
'x+1/2,y,-z+1/2'
'x+1/2,-y+1/2,-z+1/2'
'-x+1/2,y+1/2,z+1/2'
'-x,y+1/2,-z'
'x,-y+1/2,z'
loop_
_atom_site_label
_atom_site_type_symbol
_atom_site_fract_x
_atom_site_fract_y
_atom_site_fract_z
Pm1 Pm 0.062 0.250 0.219
Pm2 Pm 0.159 0.250 0.552
Bi1 Bi 0.184 0.250 0.880
C1 C 0.121 0.750 0.590

=====

3.
# PBE-GGA Pm4Bi2C, optimized geometry
# Magnetic moment ... 0.0 μB per formula unit
# Energy ... -5.749 eV per atom
# Excess energy over the best structure of this formula in the dataset ... 0.00 eV per formula unit
# Calculated formation energy ... -608 meV/atom
# Calculated density ... 8.1 Mg/m³
data_Pm4Bi2C
_symmetry_space_group_name_H-M 'I 4/m m m'
_symmetry_Int_Tables_number 139
_symmetry_space_group_name_Hall '-I 4 2'
_cell_length_a 5.012
_cell_length_b 5.012
_cell_length_c 16.462
_cell_angle_alpha 90.00
_cell_angle_beta 90.00
_cell_angle_gamma 90.00
loop_
_atom_site_label
_atom_site_type_symbol
_atom_site_fract_x
_atom_site_fract_y
_atom_site_fract_z
Pm1 Pm 0.000 0.000 0.155
Pm2 Pm 0.000 0.500 0.000
Bi1 Bi 0.000 0.000 0.357
C1 C 0.000 0.000 0.000

=====

What is the magnetic moment in the third record? 0.0 μB per formula unit